[1]
An optimized crystal structure of Hf3MnCo2. Source: Alexandria, functional PBE.

Cell lengths 3.166, 3.166, 9.338 Å; angles 90.00, 90.00, 90.00 degrees
Atoms (fractional coordinates):
Hf  0.000  0.000  0.000
Hf  0.000  0.000  0.336
Hf  0.000  0.000  0.664
Mn  0.500  0.500  0.500
Co  0.500  0.500  0.161
Co  0.500  0.500  0.839


[2]
An optimized crystal structure of Hf5MnCo4. Source: Alexandria, functional PBE.

Cell lengths 3.161, 3.161, 15.699 Å; angles 90.00, 90.00, 90.00 degrees
Atoms (fractional coordinates):
Hf  0.000  0.000  0.000
Hf  0.000  0.000  0.201
Hf  0.000  0.000  0.402
Hf  0.000  0.000  0.598
Hf  0.000  0.000  0.799
Mn  0.500  0.500  0.500
Co  0.500  0.500  0.101
Co  0.500  0.500  0.298
Co  0.500  0.500  0.702
Co  0.500  0.500  0.899


[3]
An optimized crystal structure of Hf5Mn4Co. Source: Alexandria, functional PBE.

Cell lengths 3.164, 3.164, 15.784 Å; angles 90.00, 90.00, 90.00 degrees
Atoms (fractional coordinates):
Hf  0.000  0.000  0.000
Hf  0.000  0.000  0.202
Hf  0.000  0.000  0.400
Hf  0.000  0.000  0.600
Hf  0.000  0.000  0.798
Mn  0.500  0.500  0.100
Mn  0.500  0.500  0.302
Mn  0.500  0.500  0.698
Mn  0.500  0.500  0.900
Co  0.500  0.500  0.500


[4]
An optimized crystal structure of Hf4MnCo. Source: Alexandria, functional PBE.

Cell lengths 6.195, 6.215, 6.161 Å; angles 90.00, 93.65, 90.00 degrees
Atoms (fractional coordinates):
Hf  0.249  0.250  0.252
Hf  0.249  0.750  0.252
Hf  0.251  0.250  0.748
Hf  0.251  0.750  0.748
Hf  0.749  0.250  0.252
Hf  0.749  0.750  0.252
Hf  0.751  0.250  0.748
Hf  0.751  0.750  0.748
Mn  0.000  0.000  0.500
Mn  0.500  0.500  0.500
Co  0.000  0.500  0.000
Co  0.500  0.000  0.000


[5]
An optimized crystal structure of HfMnCo5. Source: Alexandria, functional PBE.

Cell lengths 7.701, 4.642, 9.919 Å; angles 90.00, 90.00, 90.00 degrees
Atoms (fractional coordinates):
Hf  0.240  0.250  0.061
Hf  0.260  0.750  0.561
Hf  0.740  0.250  0.439
Hf  0.760  0.750  0.939
Mn  0.137  0.750  0.858
Mn  0.363  0.250  0.358
Mn  0.637  0.750  0.642
Mn  0.863  0.250  0.142
Co  0.050  0.750  0.090
Co  0.067  0.008  0.312
Co  0.067  0.492  0.312
Co  0.099  0.250  0.520
Co  0.191  0.250  0.746
Co  0.309  0.750  0.246
Co  0.401  0.750  0.020
Co  0.433  0.508  0.812
Co  0.433  0.992  0.812
Co  0.450  0.250  0.590
Co  0.550  0.750  0.410
Co  0.567  0.008  0.188
Co  0.567  0.492  0.188
Co  0.599  0.250  0.980
Co  0.691  0.250  0.754
Co  0.809  0.750  0.254
Co  0.901  0.750  0.480
Co  0.933  0.508  0.688
Co  0.933  0.992  0.688
Co  0.950  0.250  0.910


[6]
An optimized crystal structure of Hf3Mn2Co7. Source: Alexandria, functional PBE.

Cell lengths 8.229, 8.229, 8.229 Å; angles 34.39, 34.39, 34.39 degrees
Atoms (fractional coordinates):
Hf  0.000  0.000  0.000
Hf  0.139  0.139  0.139
Hf  0.861  0.861  0.861
Mn  0.334  0.334  0.334
Mn  0.666  0.666  0.666
Co  0.079  0.586  0.586
Co  0.414  0.414  0.921
Co  0.414  0.921  0.414
Co  0.500  0.500  0.500
Co  0.586  0.079  0.586
Co  0.586  0.586  0.079
Co  0.921  0.414  0.414


[7]
An optimized crystal structure of Hf2Mn2Co15. Source: Alexandria, functional PBE.

Cell lengths 6.196, 6.196, 6.196 Å; angles 82.82, 82.82, 82.82 degrees
Atoms (fractional coordinates):
Hf  0.151  0.151  0.151
Hf  0.849  0.849  0.849
Mn  0.394  0.394  0.394
Mn  0.606  0.606  0.606
Co  0.000  0.500  0.500
Co  0.145  0.145  0.657
Co  0.145  0.657  0.145
Co  0.207  0.500  0.793
Co  0.207  0.793  0.500
Co  0.343  0.855  0.855
Co  0.500  0.000  0.500
Co  0.500  0.207  0.793
Co  0.500  0.500  0.000
Co  0.500  0.793  0.207
Co  0.657  0.145  0.145
Co  0.793  0.207  0.500
Co  0.793  0.500  0.207
Co  0.855  0.343  0.855
Co  0.855  0.855  0.343


[8]
An optimized crystal structure of Hf2Mn3Co. Source: Alexandria, functional PBE.

Cell lengths 8.329, 4.948, 5.007 Å; angles 90.00, 124.52, 90.00 degrees
Atoms (fractional coordinates):
Hf  0.125  0.000  0.372
Hf  0.375  0.500  0.628
Hf  0.625  0.500  0.372
Hf  0.875  0.000  0.628
Mn  0.000  0.500  0.000
Mn  0.250  0.250  0.000
Mn  0.250  0.750  0.000
Mn  0.500  0.000  0.000
Mn  0.750  0.250  0.000
Mn  0.750  0.750  0.000
Co  0.000  0.500  0.500
Co  0.500  0.000  0.500


[9]
An optimized crystal structure of HfMn3Co. Source: Alexandria, functional PBE.

Cell lengths 4.187, 4.187, 4.187 Å; angles 90.00, 90.00, 90.00 degrees
Atoms (fractional coordinates):
Hf  0.000  0.000  0.000
Mn  0.000  0.500  0.500
Mn  0.500  0.000  0.500
Mn  0.500  0.500  0.000
Co  0.500  0.500  0.500

Properties
- Energy above the most stable polymorph in this dataset: 0.000 eV/atom


[10]
An optimized crystal structure of Hf2MnCo. Source: Alexandria, functional PBE.

Cell lengths 6.293, 6.293, 6.293 Å; angles 90.00, 90.00, 90.00 degrees
Atoms (fractional coordinates):
Hf  0.250  0.250  0.250
Hf  0.250  0.250  0.750
Hf  0.250  0.750  0.250
Hf  0.250  0.750  0.750
Hf  0.750  0.250  0.250
Hf  0.750  0.250  0.750
Hf  0.750  0.750  0.250
Hf  0.750  0.750  0.750
Mn  0.000  0.000  0.000
Mn  0.000  0.500  0.500
Mn  0.500  0.000  0.500
Mn  0.500  0.500  0.000
Co  0.000  0.000  0.500
Co  0.000  0.500  0.000
Co  0.500  0.000  0.000
Co  0.500  0.500  0.500


[11]
An optimized crystal structure of HfMnCoMo. Source: Alexandria, functional PBE.

Cell lengths 6.147, 6.147, 6.147 Å; angles 90.00, 90.00, 90.00 degrees
Atoms (fractional coordinates):
Hf  0.000  0.000  0.000
Hf  0.000  0.500  0.500
Hf  0.500  0.000  0.500
Hf  0.500  0.500  0.000
Mn  0.250  0.250  0.250
Mn  0.250  0.750  0.750
Mn  0.750  0.250  0.750
Mn  0.750  0.750  0.250
Co  0.250  0.250  0.750
Co  0.250  0.750  0.250
Co  0.750  0.250  0.250
Co  0.750  0.750  0.750
Mo  0.000  0.000  0.500
Mo  0.000  0.500  0.000
Mo  0.500  0.000  0.000
Mo  0.500  0.500  0.500


[12]
An optimized crystal structure of HfMnCoNi. Source: Alexandria, functional PBE.

Cell lengths 6.078, 6.078, 6.078 Å; angles 90.00, 90.00, 90.00 degrees
Atoms (fractional coordinates):
Hf  0.000  0.000  0.000
Hf  0.000  0.500  0.500
Hf  0.500  0.000  0.500
Hf  0.500  0.500  0.000
Mn  0.000  0.000  0.500
Mn  0.000  0.500  0.000
Mn  0.500  0.000  0.000
Mn  0.500  0.500  0.500
Co  0.250  0.250  0.750
Co  0.250  0.750  0.250
Co  0.750  0.250  0.250
Co  0.750  0.750  0.750
Ni  0.250  0.250  0.250
Ni  0.250  0.750  0.750
Ni  0.750  0.250  0.750
Ni  0.750  0.750  0.250


| no. | ΔH_f (0 K) (kJ/mol of formula units) |
| --- | --- |
| 1 | -201 |
| 2 | -350 |
| 3 | -198 |
| 4 | 18 |
| 5 | -95 |
| 6 | -316 |
| 7 | -180 |
| 8 | -164 |
| 9 | 431 |
| 10 | -115 |
| 11 | -21 |
| 12 | -94 |